The following is a PBE+U calculation of an optimized crystal structure of MoPbO4F, from Alexandria via LeMat-Bulk.

Cell: 9.583 7.558 7.664 Å, 90.00 109.94 90.00°
Space group C2/m (No. 12)
Inequivalent atoms, fractional coordinates:
Mo (0.149, 0.000, 0.280) [4 per cell]
Pb (0.197, 0.500, 0.166) [4 per cell]
O (0.040, 0.000, 0.729) [4 per cell]
O (0.184, 0.192, 0.162) [8 per cell]
O (0.231, 0.500, 0.482) [4 per cell]
F (0.047, 0.500, 0.861) [4 per cell]

Summary:
Calculated density = 4.91 g cm⁻³
Electronic total energy = -6.1223 eV/atom
Density of states at the Fermi level = 0.1580 states/eV/atom